(1)
## OsBrCl (PBE)

Data for a geometry-optimized OsBrCl structure.

## Properties
Symmetry: No. 216
Raw formation energy in eV/atom: 0.90

abc: 4.3660 4.3660 4.3660
angles: 60.00 60.00 60.00
Element x y z (fractional)
1 Os 0.0000 0.0000 0.0000
2 Br 0.7500 0.7500 0.7500
3 Cl 0.2500 0.2500 0.2500

(2)
## Ba6RhSe2I3 (PBE)

Data for a geometry-optimized Ba6RhSe2I3 structure.

## Properties
Symmetry: No. 12
Raw formation energy in eV/atom: -1.42

abc: 8.2916 8.2916 8.8150
angles: 99.13 99.13 119.84
Element x y z (fractional)
1 Ba 0.0672 0.3815 0.2014
2 Ba 0.2494 0.2494 0.7949
3 Ba 0.3815 0.0672 0.2014
4 Ba 0.6185 0.9328 0.7986
5 Ba 0.7506 0.7506 0.2051
6 Ba 0.9328 0.6185 0.7986
7 Rh 0.0000 0.0000 0.0000
8 Se 0.3334 0.6666 0.0000
9 Se 0.6666 0.3334 0.0000
10 I 0.1717 0.8283 0.5000
11 I 0.5000 0.5000 0.5000
12 I 0.8283 0.1717 0.5000

(3)
## SrCu2Tc (PBE)

Data for a geometry-optimized SrCu2Tc structure.

## Properties
Energy of formation from the pure elements in eV per formula unit: 2.1
Symmetry: No. 6

abc: 2.9361 4.2562 6.0116
angles: 90.00 103.59 90.00
Element x y z (fractional)
1 Sr 0.0000 0.0000 0.0000
2 Cu 0.2654 0.0000 0.4956
3 Cu 0.3720 0.5000 0.7330
4 Tc 0.6978 0.5000 0.3745

(4)
## Dy3SI3 (PBE)

Data for a geometry-optimized Dy3SI3 structure.

## Properties
Symmetry: No. 148
Raw formation energy in eV/atom: -1.38

abc: 11.9585 11.9585 11.9585
angles: 34.07 34.07 34.07
Element x y z (fractional)
1 Dy 0.1187 0.4580 0.7972
2 Dy 0.2028 0.8813 0.5420
3 Dy 0.4580 0.7972 0.1187
4 Dy 0.5420 0.2028 0.8813
5 Dy 0.7972 0.1187 0.4580
6 Dy 0.8813 0.5420 0.2028
7 S 0.1667 0.1667 0.1667
8 S 0.8333 0.8333 0.8333
9 I 0.0641 0.7300 0.3971
10 I 0.2700 0.6029 0.9358
11 I 0.3971 0.0641 0.7300
12 I 0.6029 0.9359 0.2700
13 I 0.7300 0.3971 0.0642
14 I 0.9359 0.2700 0.6029

(5)
## TeMo2As (PBE)

Data for a geometry-optimized TeMo2As structure.

## Properties
Symmetry: No. 166
Raw formation energy in eV/atom: 0.29

abc: 8.0766 8.0766 8.0766
angles: 23.15 23.15 23.15
Element x y z (fractional)
1 Te 0.0000 0.0000 0.0000
2 Mo 0.2428 0.2428 0.2428
3 Mo 0.7572 0.7572 0.7572
4 As 0.5000 0.5000 0.5000

(6)
## HoMgTlZn (PBE)

Data for a geometry-optimized HoMgTlZn structure.

## Properties
Energy of formation from the pure elements in eV per formula unit: -1.0
Symmetry: No. 216

abc: 5.0542 5.0542 5.0542
angles: 60.00 60.00 60.00
Element x y z (fractional)
1 Ho 0.0000 0.0000 0.0000
2 Mg 0.5000 0.5000 0.5000
3 Tl 0.2500 0.2500 0.2500
4 Zn 0.7500 0.7500 0.7500

(7)
## PmGdCdCu (PBE)

Data for a geometry-optimized PmGdCdCu structure.

## Properties
Energy of formation from the pure elements in eV per formula unit: -0.8
Symmetry: No. 216

abc: 5.2079 5.2079 5.2079
angles: 60.00 60.00 60.00
Element x y z (fractional)
1 Pm 0.0000 0.0000 0.0000
2 Gd 0.5000 0.5000 0.5000
3 Cd 0.7500 0.7500 0.7500
4 Cu 0.2500 0.2500 0.2500

(8)
## Sc3Ga4Pt (PBE)

Data for a geometry-optimized Sc3Ga4Pt structure.

## Properties
Energy of formation from the pure elements in eV per formula unit: -4.0
Symmetry: No. 71

abc: 9.1852 9.1852 9.1852
angles: 160.25 144.29 41.13
Element x y z (fractional)
1 Sc 0.0000 0.0000 0.0000
2 Sc 0.2643 0.7643 0.5000
3 Sc 0.7357 0.2357 0.5000
4 Ga 0.1207 0.3783 0.7424
5 Ga 0.3642 0.6217 0.7424
6 Ga 0.6358 0.3783 0.2576
7 Ga 0.8793 0.6217 0.2576
8 Pt 0.5000 0.5000 0.0000

no.,density of states at the Fermi level (states/eV per atom)
1,0.81
2,0.64
3,1.12
4,0.33
5,0.87
6,0.11
7,1.01
8,0.62